The following is a PBE-GGA calculation of AlZnRe after structural relaxation, from Alexandria via LeMat-Bulk.

```
AlZnRe
1.0
-2.463 3.387 5.384
-1.570 1.015 6.370
1.829 1.942 0.529
Re Zn Al
1 1 1
Cartesian
-0.142 2.769 4.304 Re
-2.079 3.582 8.013 Zn
-4.015 4.395 11.720 Al
```

Properties
total magnetic moment: 0.00 μB per formula unit
DFT formation energy: 4.04 kcal/mol of atoms
Fermi-level density of states: 2.22 states/eV/cell
mass density: 10.3 g/cm³



The following is a PBE-GGA calculation of SmGaRuRh after structural relaxation, from Alexandria via LeMat-Bulk.

```
SmGaRuRh
1.0
4.609 0.000 0.000
2.305 3.992 0.000
2.305 1.331 3.764
Ru Rh Ga Sm
1 1 1 1
Cartesian
0.000 0.000 0.000 Ru
4.609 2.661 1.882 Rh
6.914 3.992 2.823 Ga
2.305 1.331 0.941 Sm
```

Properties
total magnetic moment: 0.00 μB per formula unit
DFT formation energy: -9.85 kcal/mol of atoms
Fermi-level density of states: 4.11 states/eV/cell
mass density: 10.2 g/cm³